First-principles (SCAN) data for a PBEsol-optimized structure of ReSiSe2, as listed in Alexandria.

Magnetization ... 0.0 μB per cell
Formation energy (no corrections) ... 2.70 eV/f.u.
Space group ... I-42d

a b c (Å): 5.6504 5.6504 6.7943
angles (deg): 114.57 114.57 90.00
Atoms (fractional coordinates):
Se1 0.1250 0.1103 0.7500
Se2 0.8897 0.3750 0.2500
Se3 0.6250 0.6397 0.7500
Se4 0.3603 0.8750 0.2500
Si1 0.5000 0.5000 0.0000
Si2 0.7500 0.2500 0.5000
Re1 0.2500 0.7500 0.5000
Re2 0.0000 0.0000 0.0000

---

First-principles (SCAN) data for a PBEsol-optimized structure of Nd2ZnIn, as listed in Alexandria.

Magnetization ... 0.0 μB per cell
Energy ... -34.020 eV/atom
Space group ... Fm-3m

a b c (Å): 5.2765 5.2765 5.2765
angles (deg): 60.00 60.00 60.00
Atoms (fractional coordinates):
Nd1 0.7500 0.7500 0.7500
Nd2 0.2500 0.2500 0.2500
In1 0.0000 0.0000 0.0000
Zn1 0.5000 0.5000 0.5000

---

First-principles (SCAN) data for a PBEsol-optimized structure of Sc2MoIr, as listed in Alexandria.

Magnetization ... 0.0 μB per cell
Energy ... -33.294 eV/atom
Space group ... R-3m

a b c (Å): 2.9209 2.9209 9.6769
angles (deg): 81.32 81.32 60.00
Atoms (fractional coordinates):
Sc1 0.0860 0.0860 0.7419
Sc2 0.9140 0.9140 0.2581
Mo1 0.5000 0.5000 0.5000
Ir1 0.0000 0.0000 0.0000

---

First-principles (SCAN) data for a PBEsol-optimized structure of Zn2AgIr, as listed in Alexandria.

Magnetization ... 0.0 μB per cell
Energy ... -32.518 eV/atom
Space group ... P4/mmm

a b c (Å): 3.0076 4.3225 4.3225
angles (deg): 90.00 90.00 90.00
Atoms (fractional coordinates):
Zn1 0.0000 0.0000 0.5000
Zn2 0.0000 0.5000 0.0000
Ag1 0.5000 0.5000 0.5000
Ir1 0.5000 0.0000 0.0000

---

First-principles (SCAN) data for a PBEsol-optimized structure of NbBiSN2, as listed in Alexandria.

Magnetization ... 1.5 μB per cell
Formation energy (no corrections) ... 8.20 eV/f.u.
Space group ... P4/mmm

a b c (Å): 4.1975 4.1975 5.0698
angles (deg): 90.00 90.00 90.00
Site moments in Bohr magnetons follow the coordinates.
Atoms (fractional coordinates):
N1 0.0000 0.5000 0.0000  -0.45
N2 0.5000 0.0000 0.0000  -0.45
Nb1 0.5000 0.5000 0.5000  2.18
S1 0.0000 0.0000 0.5000  -0.06
Bi1 0.0000 0.0000 0.0000  0.06

---

First-principles (SCAN) data for a PBEsol-optimized structure of Co3HRh, as listed in Alexandria.

Magnetization ... 6.1 μB per cell
Energy ... -17.725 eV/atom
Space group ... Pm-3m

a b c (Å): 3.5901 3.5901 3.5901
angles (deg): 90.00 90.00 90.00
Site moments in Bohr magnetons follow the coordinates.
Atoms (fractional coordinates):
Co1 0.5000 0.0000 0.0000  1.77
Co2 0.0000 0.5000 0.0000  1.77
Co3 0.0000 0.0000 0.5000  1.77
Rh1 0.5000 0.5000 0.5000  1.03
H1 0.0000 0.0000 0.0000  -0.02

---

First-principles (SCAN) data for a PBEsol-optimized structure of YCrH3, as listed in Alexandria.

Magnetization ... 5.1 μB per cell
Energy ... -11.218 eV/atom
Space group ... Pm-3m

a b c (Å): 4.0155 4.0155 4.0155
angles (deg): 90.00 90.00 90.00
Site moments in Bohr magnetons follow the coordinates.
Atoms (fractional coordinates):
Cr1 0.5000 0.5000 0.5000  4.30
H1 0.5000 0.0000 0.0000  -0.01
H2 0.0000 0.5000 0.0000  -0.01
H3 0.0000 0.0000 0.5000  -0.01
Y1 0.0000 0.0000 0.0000  0.13

---

First-principles (SCAN) data for a PBEsol-optimized structure of LiPSe2, as listed in Alexandria.

Magnetization ... 0.0 μB per cell
Formation energy (no corrections) ... -2.25 eV/f.u.
Space group ... P2_1

a b c (Å): 5.3118 5.4601 5.5047
angles (deg): 86.11 89.99 90.01
Atoms (fractional coordinates):
P1 0.2724 0.3024 0.0822
P2 0.7724 0.6976 0.9179
Se1 0.2526 0.2504 0.4867
Se2 0.7526 0.7496 0.5133
Se3 0.7211 0.2726 0.0038
Se4 0.2212 0.7274 0.9963
Li1 0.2539 0.7550 0.4960
Li2 0.7538 0.2450 0.5039

---

> The highest magnetization belongs to which entry?

Co3HRh